[1]
CoTe2Mo: relaxed, PBE.

Unit cell a=6.6492 b=6.6492 c=6.6492 alpha=90.00 beta=90.00 gamma=90.00
Space group Fm-3m (No. 225)
Unique sites:
Co 0.0000 0.0000 0.0000 [4 per cell]
Te 0.2500 0.2500 0.2500 [8 per cell]
Mo 0.0000 0.0000 0.5000 [4 per cell]

Results
ΔE_f (raw) in eV per atom: 0.432
Magnetization in μB/f.u.: 2.40
Calculated total energy in eV/atom: -5.62

=====

[2]
TiCo6Mo: relaxed, PBE.

Unit cell a=7.1586 b=10.1277 c=10.1366 alpha=90.00 beta=90.00 gamma=90.00
Space group Cmmm (No. 65)
Unique sites:
Ti 0.0000 0.0000 0.2465 [4 per cell]
Ti 0.0000 0.2505 0.0000 [4 per cell]
Co 0.0000 0.0000 0.0000 [2 per cell]
Co 0.0000 0.0000 0.5000 [2 per cell]
Co 0.0000 0.2507 0.2516 [8 per cell]
Co 0.0000 0.5000 0.0000 [2 per cell]
Co 0.0000 0.5000 0.5000 [2 per cell]
Co 0.2486 0.3752 0.1258 [16 per cell]
Co 0.2488 0.3748 0.3760 [16 per cell]
Mo 0.0000 0.2499 0.5000 [4 per cell]
Mo 0.0000 0.5000 0.2465 [4 per cell]

Results
Magnetization in μB/f.u.: 0.00
Energy relative to the elements in meV per atom: -153
Calculated total energy in eV/atom: -7.82

=====

[3]
Ti5Co4Mo: relaxed, PBE.

Unit cell a=3.0479 b=3.0479 c=14.7271 alpha=90.00 beta=90.00 gamma=90.00
Space group P4/mmm (No. 123)
Unique sites:
Ti 0.0000 0.0000 0.0000 [1 per cell]
Ti 0.0000 0.0000 0.1953 [2 per cell]
Ti 0.0000 0.0000 0.3937 [2 per cell]
Co 0.5000 0.5000 0.0965 [2 per cell]
Co 0.5000 0.5000 0.2879 [2 per cell]
Mo 0.5000 0.5000 0.5000 [1 per cell]

Results
Magnetization in μB/f.u.: 0.00
Energy relative to the elements in meV per atom: -333
Calculated total energy in eV/atom: -8.21

=====

[4]
TiCo4Mo: relaxed, PBE.

Unit cell a=6.2443 b=6.2443 c=8.4798 alpha=90.00 beta=90.00 gamma=90.00
Space group I4_1/a (No. 88, origin choice 2)
Unique sites:
Ti 0.0000 0.2500 0.1250 [4 per cell]
Co 0.1407 0.3926 0.8735 [16 per cell]
Mo 0.0000 0.2500 0.6250 [4 per cell]

Results
Magnetization in μB/f.u.: 1.64
Energy relative to the elements in meV per atom: 460
Calculated total energy in eV/atom: -7.40

=====

[5]
TiCo2Mo: relaxed, PBE.

Unit cell a=3.7444 b=3.7444 c=16.3732 alpha=90.00 beta=90.00 gamma=90.00
Space group I-42d (No. 122)
Unique sites:
Ti 0.0000 0.0000 0.0000 [4 per cell]
Co 0.2440 0.2500 0.1250 [8 per cell]
Mo 0.0000 0.0000 0.5000 [4 per cell]

Results
Magnetization in μB/f.u.: 0.34
Energy relative to the elements in meV per atom: 492
Calculated total energy in eV/atom: -7.74

=====

[6]
TiCoMo2: relaxed, PBE.

Unit cell a=6.1300 b=6.1300 c=6.1300 alpha=90.00 beta=90.00 gamma=90.00
Space group Fm-3m (No. 225)
Unique sites:
Ti 0.0000 0.0000 0.0000 [4 per cell]
Co 0.0000 0.0000 0.5000 [4 per cell]
Mo 0.2500 0.2500 0.2500 [8 per cell]

Results
Magnetization in μB/f.u.: 0.00
Energy relative to the elements in meV per atom: 155
Calculated total energy in eV/atom: -9.01

=====

[7]
Ti3CoMo: relaxed, PBE.

Unit cell a=4.9180 b=4.9180 c=15.3818 alpha=90.00 beta=90.00 gamma=90.00
Space group I-4m2 (No. 119)
Unique sites:
Ti 0.0000 0.0000 0.1660 [4 per cell]
Ti 0.0000 0.2477 0.3750 [8 per cell]
Co 0.0000 0.0000 0.5000 [2 per cell]
Co 0.0000 0.5000 0.2500 [2 per cell]
Mo 0.0000 0.5000 0.5454 [4 per cell]

Results
Magnetization in μB/f.u.: 0.00
Energy relative to the elements in meV per atom: 758
Calculated total energy in eV/atom: -7.57

=====

[8]
TiCo2Mo: relaxed, PBE.

Unit cell a=2.8057 b=2.8057 c=6.6220 alpha=90.00 beta=90.00 gamma=90.00
Space group P4/mmm (No. 123)
Unique sites:
Ti 0.0000 0.0000 0.0000 [1 per cell]
Co 0.5000 0.5000 0.2308 [2 per cell]
Mo 0.0000 0.0000 0.5000 [1 per cell]

Results
Magnetization in μB/f.u.: 0.91
Energy relative to the elements in meV per atom: -117
Calculated total energy in eV/atom: -8.35

=====

[9]
TiCo2Mo: relaxed, PBE.

Unit cell a=3.8065 b=3.8065 c=3.5841 alpha=90.00 beta=90.00 gamma=90.00
Space group P4/mmm (No. 123)
Unique sites:
Ti 0.0000 0.0000 0.0000 [1 per cell]
Co 0.0000 0.5000 0.5000 [2 per cell]
Mo 0.5000 0.5000 0.0000 [1 per cell]

Results
Magnetization in μB/f.u.: 0.00
Energy relative to the elements in meV per atom: -93
Calculated total energy in eV/atom: -8.33

=====

[10]
Ti3CoMo: relaxed, PBE.

Unit cell a=4.4193 b=4.4193 c=4.4193 alpha=90.00 beta=90.00 gamma=90.00
Space group Pm-3m (No. 221)
Unique sites:
Ti 0.0000 0.0000 0.5000 [3 per cell]
Co 0.0000 0.0000 0.0000 [1 per cell]
Mo 0.5000 0.5000 0.5000 [1 per cell]

Results
Magnetization in μB/f.u.: 0.00
Energy relative to the elements in meV per atom: 489
Calculated total energy in eV/atom: -7.84

=====

[11]
TiCo4Mo: relaxed, PBE.

Unit cell a=6.6305 b=6.6305 c=6.6305 alpha=90.00 beta=90.00 gamma=90.00
Space group F-43m (No. 216)
Unique sites:
Ti 0.0000 0.0000 0.0000 [4 per cell]
Co 0.1253 0.1253 0.6253 [16 per cell]
Mo 0.2500 0.2500 0.2500 [4 per cell]

Results
Magnetization in μB/f.u.: 2.19
Energy relative to the elements in meV per atom: -106
Calculated total energy in eV/atom: -7.96

=====

[12]
Ti4CoMo2: relaxed, PBE.

Unit cell a=4.4093 b=4.4093 c=12.6539 alpha=90.00 beta=90.00 gamma=90.00
Space group I4/mmm (No. 139)
Unique sites:
Ti 0.0000 0.0000 0.1891 [4 per cell]
Ti 0.0000 0.5000 0.0000 [4 per cell]
Co 0.0000 0.0000 0.0000 [2 per cell]
Mo 0.0000 0.0000 0.3750 [4 per cell]

Results
Magnetization in μB/f.u.: 0.00
Energy relative to the elements in meV per atom: 578
Calculated total energy in eV/atom: -8.04

=====

[13]
TiCoMo2: relaxed, PBE.

Unit cell a=7.0875 b=7.0875 c=4.9616 alpha=90.00 beta=90.00 gamma=90.00
Space group I-42d (No. 122)
Unique sites:
Ti 0.0000 0.0000 0.0000 [4 per cell]
Co 0.0000 0.0000 0.5000 [4 per cell]
Mo 0.2151 0.7500 0.6250 [8 per cell]

Results
Magnetization in μB/f.u.: 0.00
Energy relative to the elements in meV per atom: 399
Calculated total energy in eV/atom: -8.77

=====

[14]
TiCo2Mo: relaxed, PBE.

Unit cell a=2.7308 b=2.7308 c=24.8458 alpha=90.00 beta=90.00 gamma=120.00
Space group R-3m (No. 166, hexagonal axes)
Unique sites:
Ti 0.0000 0.0000 0.0000 [3 per cell]
Co 0.0000 0.0000 0.2527 [6 per cell]
Mo 0.0000 0.0000 0.5000 [3 per cell]

Results
Magnetization in μB/f.u.: 0.90
Energy relative to the elements in meV per atom: 133
Calculated total energy in eV/atom: -8.10